No. 1
Computed, not measured: a geometry-optimized Pr6ScHg5 structure at the PBE level of DFT.

a = 5.4181 Å, b = 7.7729 Å, c = 8.6996 Å
α = 90.00°, β = 108.11°, γ = 90.00°
Element x y z (fractional)
Pr1 0.0000 0.2372 0.0000
Pr2 0.0000 0.7628 0.0000
Pr3 0.3304 0.2538 0.6591
Pr4 0.3304 0.7462 0.6591
Pr5 0.6696 0.2538 0.3409
Pr6 0.6696 0.7462 0.3409
Sc1 0.5000 0.5000 0.0000
Hg1 0.1511 0.5000 0.3043
Hg2 0.1646 0.0000 0.3321
Hg3 0.5000 0.0000 0.0000
Hg4 0.8354 0.0000 0.6679
Hg5 0.8489 0.5000 0.6957

---

No. 2
Computed, not measured: a geometry-optimized Pr4ScHg3 structure at the PBE level of DFT.

a = 3.7840 Å, b = 5.4955 Å, c = 11.1919 Å
α = 90.00°, β = 90.00°, γ = 90.00°
Element x y z (fractional)
Pr1 0.0000 0.0000 0.0000
Pr2 0.0000 0.0000 0.5000
Pr3 0.0000 0.5000 0.2424
Pr4 0.0000 0.5000 0.7576
Sc1 0.5000 0.5000 0.5000
Hg1 0.5000 0.0000 0.2612
Hg2 0.5000 0.0000 0.7388
Hg3 0.5000 0.5000 0.0000

---

| no. | DOS(E_F) (states/eV per cell) | ΔH_f (0 K) (eV/f.u.) |
| --- | --- | --- |
| 1 | 15.95 | -4.3 |
| 2 | 11.17 | -2.5 |